Entry from the Alexandria database: a geometry-optimized Zn4CdPt structure (PBE).

Summary:
**Size of the total moment**: 0.00 Bohr magnetons per cell
**Energy of formation**: -0.148 eV per atom

a = 7.157 Å, b = 7.157 Å, c = 7.157 Å
α = 90.00°, β = 90.00°, γ = 90.00°
Space group F-43m (No. 216)
Asymmetric unit:
Zn (0.125, 0.125, 0.125)
Cd (0.250, 0.250, 0.750)
Pt (0.000, 0.000, 0.500)